Entry 1:
A plane-wave DFT calculation with GGA-PBE was carried out for a geometry-optimized HoTlCdHg structure.

Computed properties:
The volume comes out at 24.79 Å³ per atom. For the energy above the most stable polymorph in this dataset, the calculation gives 0.000 eV/atom. Its energy relative to the elements is -0.27 eV per atom.

CIF file:
```
data_HoTlCdHg
_chemical_formula_sum 'Ho1 Tl1 Cd1 Hg1'
_space_group_name_H-M_alt 'P m m m'
_space_group_IT_number 47
_cell_length_a 4.2385
_cell_length_b 4.8200
_cell_length_c 4.8538
_cell_angle_alpha 90.00
_cell_angle_beta 90.00
_cell_angle_gamma 90.00
loop_
_space_group_symop_operation_xyz
'x,y,z'
'-x,-y,-z'
'-x,-y,z'
'x,y,-z'
'x,-y,-z'
'-x,y,z'
'-x,y,-z'
'x,-y,z'
loop_
_atom_site_label
_atom_site_type_symbol
_atom_site_fract_x
_atom_site_fract_y
_atom_site_fract_z
Ho1 Ho 0.0000 0.0000 0.0000
Tl1 Tl 0.5000 0.5000 0.0000
Cd1 Cd 0.0000 0.5000 0.5000
Hg1 Hg 0.5000 0.0000 0.5000
```

Entry 2:
A plane-wave DFT calculation with GGA-PBE was carried out for a geometry-optimized Ho2TmCdHg4 structure.

Computed properties:
The volume comes out at 24.33 Å³ per atom. Its energy relative to the elements is -0.43 eV per atom.

CIF file:
```
data_Ho2TmCdHg4
_chemical_formula_sum 'Ho6 Tm3 Cd3 Hg12'
_space_group_name_H-M_alt 'R -3 m'
_space_group_IT_number 166
_space_group_name_Hall '-R 3 2"'
_cell_length_a 5.1211
_cell_length_b 5.1211
_cell_length_c 25.7091
_cell_angle_alpha 90.00
_cell_angle_beta 90.00
_cell_angle_gamma 120.00
loop_
_atom_site_label
_atom_site_type_symbol
_atom_site_fract_x
_atom_site_fract_y
_atom_site_fract_z
Ho1 Ho 0.0000 0.0000 0.2434
Tm1 Tm 0.0000 0.0000 0.0000
Cd1 Cd 0.0000 0.0000 0.5000
Hg1 Hg 0.0000 0.0000 0.1220
Hg2 Hg 0.0000 0.0000 0.3691
```

Entry 3:
A plane-wave DFT calculation with GGA-PBE was carried out for a geometry-optimized HoTmCdHg structure.

Computed properties:
The volume comes out at 25.31 Å³ per atom. Its energy relative to the elements is -0.39 eV per atom.

CIF file:
```
data_HoTmCdHg
_chemical_formula_sum 'Ho4 Tm4 Cd4 Hg4'
_space_group_name_H-M_alt 'F -4 3 m'
_space_group_IT_number 216
_space_group_name_Hall 'F -4 2 3'
_cell_length_a 7.3981
_cell_length_b 7.3981
_cell_length_c 7.3981
_cell_angle_alpha 90.00
_cell_angle_beta 90.00
_cell_angle_gamma 90.00
loop_
_atom_site_label
_atom_site_type_symbol
_atom_site_fract_x
_atom_site_fract_y
_atom_site_fract_z
Ho1 Ho 0.0000 0.0000 0.0000
Tm1 Tm 0.0000 0.0000 0.5000
Cd1 Cd 0.2500 0.2500 0.2500
Hg1 Hg 0.2500 0.2500 0.7500
```

Entry 4:
A plane-wave DFT calculation with GGA-PBE was carried out for a geometry-optimized HoTm2CdHg4 structure.

Computed properties:
The volume comes out at 24.22 Å³ per atom. Its energy relative to the elements is -0.41 eV per atom.

CIF file:
```
data_HoTm2CdHg4
_chemical_formula_sum 'Ho3 Tm6 Cd3 Hg12'
_space_group_name_H-M_alt 'R -3 m'
_space_group_IT_number 166
_space_group_name_Hall '-R 3 2"'
_cell_length_a 5.1122
_cell_length_b 5.1122
_cell_length_c 25.6870
_cell_angle_alpha 90.00
_cell_angle_beta 90.00
_cell_angle_gamma 120.00
loop_
_atom_site_label
_atom_site_type_symbol
_atom_site_fract_x
_atom_site_fract_y
_atom_site_fract_z
Ho1 Ho 0.0000 0.0000 0.0000
Tm1 Tm 0.0000 0.0000 0.2435
Cd1 Cd 0.0000 0.0000 0.5000
Hg1 Hg 0.0000 0.0000 0.1226
Hg2 Hg 0.0000 0.0000 0.3699
```

Entry 5:
A plane-wave DFT calculation with GGA-PBE was carried out for a geometry-optimized HoZrCdHg structure.

Computed properties:
The volume comes out at 23.66 Å³ per atom. Its energy relative to the elements is -0.19 eV per atom.

CIF file:
```
data_HoZrCdHg
_chemical_formula_sum 'Ho4 Zr4 Cd4 Hg4'
_space_group_name_H-M_alt 'F -4 3 m'
_space_group_IT_number 216
_space_group_name_Hall 'F -4 2 3'
_cell_length_a 7.2336
_cell_length_b 7.2336
_cell_length_c 7.2336
_cell_angle_alpha 90.00
_cell_angle_beta 90.00
_cell_angle_gamma 90.00
loop_
_atom_site_label
_atom_site_type_symbol
_atom_site_fract_x
_atom_site_fract_y
_atom_site_fract_z
Ho1 Ho 0.0000 0.0000 0.0000
Zr1 Zr 0.0000 0.0000 0.5000
Cd1 Cd 0.2500 0.2500 0.2500
Hg1 Hg 0.2500 0.2500 0.7500
```

Entry 6:
A plane-wave DFT calculation with GGA-PBE was carried out for a geometry-optimized Cd3Hg3I structure.

Computed properties:
The volume comes out at 39.11 Å³ per atom. The uncorrected formation energy is 0.098 eV per atom.

CIF file:
```
data_Cd3Hg3I
_chemical_formula_sum 'Cd6 Hg6 I2'
_space_group_name_H-M_alt 'P m -3 n'
_space_group_IT_number 223
_space_group_name_Hall '-P 4n 2 3'
_cell_length_a 8.1812
_cell_length_b 8.1812
_cell_length_c 8.1812
_cell_angle_alpha 90.00
_cell_angle_beta 90.00
_cell_angle_gamma 90.00
loop_
_atom_site_label
_atom_site_type_symbol
_atom_site_fract_x
_atom_site_fract_y
_atom_site_fract_z
Cd1 Cd 0.0000 0.2500 0.5000
Hg1 Hg 0.0000 0.5000 0.2500
I1 I 0.0000 0.0000 0.0000
```